Entry 1:
Computed, not measured: crystalline Li5Ag2SnHg2 at its relaxed geometry at the PBE level of DFT.

The structure belongs to space group P4/mbm (No. 127); the cell edges are 10.459, 10.459 and 3.489 Å and the angles 90.00°, 90.00° and 90.00°. The asymmetric unit holds Li at (0.000, 0.500, 0.000), Li at (0.009, 0.210, 0.000), Ag at (0.152, 0.348, 0.500), Sn at (0.000, 0.000, 0.500) and Hg at (0.156, 0.656, 0.500).

As for the energy of formation from the pure elements: -0.1835 eV/atom.

Entry 2:
Computed, not measured: crystalline CuGeS2 at its relaxed geometry at the PBE level of DFT.

The structure belongs to space group R3m (No. 160, hexagonal axes); the cell edges are 3.5328, 3.5328 and 18.7232 Å and the angles 90.00°, 90.00° and 120.00°. The asymmetric unit holds Cu at (0.0000, 0.0000, 0.0000), Ge at (0.0000, 0.0000, 0.8310), S at (0.0000, 0.0000, 0.4033) and S at (0.0000, 0.0000, 0.5874).

Its electronic total energy is -4.297 eV per atom.

Entry 3:
Computed, not measured: crystalline BeRe2Mo at its relaxed geometry at the PBE level of DFT.

The structure belongs to space group Pmm2 (No. 25); the cell edges are 2.747, 3.956 and 5.173 Å and the angles 90.00°, 90.00° and 90.00°. The asymmetric unit holds Be at (0.000, 0.000, 0.000), Re at (0.000, 0.000, 0.509), Re at (0.500, 0.500, 0.759) and Mo at (0.500, 0.500, 0.238).

As for the energy of formation from the pure elements: 0.1260 eV/atom.

| no. | size of the total moment (μB/atom) |
| --- | --- |
| 1 | 0.000 |
| 2 | 0.000 |
| 3 | 0.000 |